(1)
Compound: LaPr3Bi4
Source: Alexandria
Functional: GGA-PBE
Structure: relaxed

Calculated values
DFT formation energy, eV/atom: -0.99
E above lowest polymorph, meV per atom: 0
SG: Pm-3m (221)

Geometry as POSCAR:
```
LaPr3Bi4
1.0
6.5842 0.0000 0.0000
0.0000 6.5842 0.0000
0.0000 0.0000 6.5842
La Pr Bi
1 3 4
direct
0.0000 0.0000 0.0000 La
0.0000 0.5000 0.5000 Pr
0.5000 0.0000 0.5000 Pr
0.5000 0.5000 0.0000 Pr
0.0000 0.0000 0.5000 Bi
0.0000 0.5000 0.0000 Bi
0.5000 0.0000 0.0000 Bi
0.5000 0.5000 0.5000 Bi
```

(2)
Compound: La3PrBi3
Source: Alexandria
Functional: GGA-PBE
Structure: relaxed

Calculated values
DFT formation energy, eV/atom: -0.90
E above lowest polymorph, meV per atom: 0
SG: P2_13 (198)

Geometry as POSCAR:
```
La3PrBi3
1.0
9.8567 0.0000 0.0000
0.0000 9.8567 0.0000
0.0000 0.0000 9.8567
La Pr Bi
12 4 12
direct
0.0704 0.4296 0.5704 La
0.1784 0.1784 0.1784 La
0.1783 0.8217 0.3217 La
0.3217 0.1783 0.8217 La
0.3216 0.8216 0.6784 La
0.4296 0.5704 0.0704 La
0.5704 0.0704 0.4296 La
0.6784 0.3216 0.8216 La
0.6783 0.6783 0.6783 La
0.8217 0.3217 0.1783 La
0.8216 0.6784 0.3216 La
0.9296 0.9296 0.9296 La
0.0708 0.5708 0.9292 Pr
0.4292 0.4292 0.4292 Pr
0.5708 0.9292 0.0708 Pr
0.9292 0.0708 0.5708 Pr
0.0001 0.2511 0.8732 Bi
0.9999 0.7511 0.6268 Bi
0.1268 0.5001 0.2489 Bi
0.2489 0.1268 0.5001 Bi
0.2511 0.8732 0.0001 Bi
0.3732 0.4999 0.7489 Bi
0.5001 0.2489 0.1268 Bi
0.4999 0.7489 0.3732 Bi
0.6268 0.9999 0.7511 Bi
0.7489 0.3732 0.4999 Bi
0.7511 0.6268 0.9999 Bi
0.8732 0.0001 0.2511 Bi
```